(1)
# RbCaAsI6 (PBE-GGA, optimized geometry)
data_RbCaAsI6
_symmetry_space_group_name_H-M 'P 3 1 2'
_symmetry_Int_Tables_number 149
_symmetry_space_group_name_Hall 'P 3 2'
_cell_length_a 7.8522
_cell_length_b 7.8522
_cell_length_c 8.1534
_cell_angle_alpha 90.00
_cell_angle_beta 90.00
_cell_angle_gamma 120.00
loop_
_atom_site_label
_atom_site_fract_x
_atom_site_fract_y
_atom_site_fract_z
Rb1 0.0000 0.0000 0.0000
Ca1 0.3333 0.6667 0.5000
As1 0.6667 0.3333 0.5000
I1 0.3814 0.0227 0.7104
# **Crystal system**: trigonal
# **Raw formation energy**: -0.932 eV per atom

---

(2)
# ZnCdIn2P (PBE-GGA, optimized geometry)
data_ZnCdIn2P
_symmetry_space_group_name_H-M 'P 4/m m m'
_symmetry_Int_Tables_number 123
_symmetry_space_group_name_Hall '-P 4 2'
_cell_length_a 5.4694
_cell_length_b 5.4694
_cell_length_c 4.9033
_cell_angle_alpha 90.00
_cell_angle_beta 90.00
_cell_angle_gamma 90.00
loop_
_atom_site_label
_atom_site_fract_x
_atom_site_fract_y
_atom_site_fract_z
Zn1 0.0000 0.0000 0.0000
Cd1 0.0000 0.0000 0.5000
In1 0.0000 0.5000 0.5000
P1 0.5000 0.5000 0.0000
# **Crystal system**: tetragonal

---

(3)
# YZrGaCo (PBE-GGA, optimized geometry)
data_YZrGaCo
_symmetry_space_group_name_H-M 'F -4 3 m'
_symmetry_Int_Tables_number 216
_symmetry_space_group_name_Hall 'F -4 2 3'
_cell_length_a 6.7814
_cell_length_b 6.7814
_cell_length_c 6.7814
_cell_angle_alpha 90.00
_cell_angle_beta 90.00
_cell_angle_gamma 90.00
loop_
_atom_site_label
_atom_site_fract_x
_atom_site_fract_y
_atom_site_fract_z
Y1 0.0000 0.0000 0.0000
Zr1 0.0000 0.0000 0.5000
Ga1 0.2500 0.2500 0.7500
Co1 0.2500 0.2500 0.2500
# **Crystal system**: cubic

---

(4)
# ZrTiCO (PBE-GGA, optimized geometry)
data_ZrTiCO
_symmetry_space_group_name_H-M 'R 3 m'
_symmetry_Int_Tables_number 160
_symmetry_space_group_name_Hall 'R 3 -2"'
_cell_length_a 3.1217
_cell_length_b 3.1217
_cell_length_c 16.4833
_cell_angle_alpha 90.00
_cell_angle_beta 90.00
_cell_angle_gamma 120.00
loop_
_atom_site_label
_atom_site_fract_x
_atom_site_fract_y
_atom_site_fract_z
Zr1 0.0000 0.0000 0.0000
Ti1 0.0000 0.0000 0.1834
C1 0.0000 0.0000 0.5813
O1 0.0000 0.0000 0.7630
# **Crystal system**: trigonal
# **Raw formation energy**: -1.678 eV per atom

---

(5)
# NaLiYSe2 (PBE-GGA, optimized geometry)
data_NaLiYSe2
_symmetry_space_group_name_H-M 'P 4/m m m'
_symmetry_Int_Tables_number 123
_symmetry_space_group_name_Hall '-P 4 2'
_cell_length_a 5.1794
_cell_length_b 5.1794
_cell_length_c 4.1174
_cell_angle_alpha 90.00
_cell_angle_beta 90.00
_cell_angle_gamma 90.00
loop_
_atom_site_label
_atom_site_fract_x
_atom_site_fract_y
_atom_site_fract_z
Na1 0.0000 0.0000 0.0000
Li1 0.0000 0.0000 0.5000
Y1 0.5000 0.5000 0.5000
Se1 0.0000 0.5000 0.0000
# **Crystal system**: tetragonal
# **Raw formation energy**: -0.552 eV per atom

---

(6)
# Ca2YTe (PBE-GGA, optimized geometry)
data_Ca2YTe
_symmetry_space_group_name_H-M 'R 3 m'
_symmetry_Int_Tables_number 160
_symmetry_space_group_name_Hall 'R 3 -2"'
_cell_length_a 4.0543
_cell_length_b 4.0543
_cell_length_c 30.9257
_cell_angle_alpha 90.00
_cell_angle_beta 90.00
_cell_angle_gamma 120.00
loop_
_atom_site_label
_atom_site_fract_x
_atom_site_fract_y
_atom_site_fract_z
Ca1 0.0000 0.0000 0.0000
Ca2 0.0000 0.0000 0.2270
Y1 0.0000 0.0000 0.4645
Te1 0.0000 0.0000 0.7335
# **Crystal system**: trigonal
# **Raw formation energy**: -0.602 eV per atom

---

Number 1: calculated density 3.7 g/cm³, energy -25.312 eV/cell, total magnetic moment 0.000 μB/cell. Number 2: calculated density 5.0 g/cm³, energy -9.480 eV/cell, total magnetic moment 0.707 μB/cell. Number 3: calculated density 6.6 g/cm³, energy -104.960 eV/cell, total magnetic moment 3.915 μB/cell. Number 4: calculated density 6.0 g/cm³, energy -112.006 eV/cell, total magnetic moment 0.000 μB/cell. Number 5: calculated density 4.2 g/cm³, energy -19.428 eV/cell, total magnetic moment 0.000 μB/cell. Number 6: calculated density 3.4 g/cm³, energy -48.052 eV/cell, total magnetic moment 2.624 μB/cell.